(1)
# PBE Ho3ThZn, relaxed
# Formation energy: 0.15 eV per atom
data_Ho3ThZn
_cell_length_a 6.5638
_cell_length_b 9.1377
_cell_length_c 9.9300
_cell_angle_alpha 90.00
_cell_angle_beta 90.00
_cell_angle_gamma 90.00
_space_group_name_H-M_alt 'I m m a'
_space_group_IT_number 74
_space_group_name_Hall '-I 2b 2'
loop_
_atom_site_label
_atom_site_type_symbol
_atom_site_fract_x
_atom_site_fract_y
_atom_site_fract_z
Ho1 Ho 0.0000 0.2500 0.1578
Ho2 Ho 0.2500 0.0591 0.7500
Th1 Th 0.0000 0.2500 0.4762
Zn1 Zn 0.0000 0.0000 0.0000

(2)
# PBE LiSi2Ir2, relaxed
# Uncorrected energy: -6.741 eV per atom
data_LiSi2Ir2
_cell_length_a 4.0641
_cell_length_b 4.0641
_cell_length_c 9.6106
_cell_angle_alpha 90.00
_cell_angle_beta 90.00
_cell_angle_gamma 90.00
_space_group_name_H-M_alt 'I 4/m m m'
_space_group_IT_number 139
_space_group_name_Hall '-I 4 2'
loop_
_atom_site_label
_atom_site_type_symbol
_atom_site_fract_x
_atom_site_fract_y
_atom_site_fract_z
Li1 Li 0.0000 0.0000 0.0000
Si1 Si 0.0000 0.0000 0.3777
Ir1 Ir 0.0000 0.5000 0.2500

(3)
# PBE GdSbPt, relaxed
# Uncorrected energy: -5.378 eV per atom
data_GdSbPt
_cell_length_a 6.8611
_cell_length_b 6.8611
_cell_length_c 6.8611
_cell_angle_alpha 90.00
_cell_angle_beta 90.00
_cell_angle_gamma 90.00
_space_group_name_H-M_alt 'F -4 3 m'
_space_group_IT_number 216
_space_group_name_Hall 'F -4 2 3'
loop_
_atom_site_label
_atom_site_type_symbol
_atom_site_fract_x
_atom_site_fract_y
_atom_site_fract_z
Gd1 Gd 0.0000 0.0000 0.0000
Sb1 Sb 0.2500 0.2500 0.2500
Pt1 Pt 0.2500 0.2500 0.7500

(4)
# PBE LuTlGeSe3, relaxed
# Energy above the lowest structure with this stoichiometry: 116 meV per atom
data_LuTlGeSe3
_cell_length_a 4.0058
_cell_length_b 15.5890
_cell_length_c 11.2586
_cell_angle_alpha 90.00
_cell_angle_beta 90.00
_cell_angle_gamma 90.00
_space_group_name_H-M_alt 'C m c m'
_space_group_IT_number 63
_space_group_name_Hall '-C 2c 2'
loop_
_atom_site_label
_atom_site_type_symbol
_atom_site_fract_x
_atom_site_fract_y
_atom_site_fract_z
Lu1 Lu 0.0000 0.0000 0.0000
Tl1 Tl 0.0000 0.2893 0.2500
Ge1 Ge 0.0000 0.3870 0.7500
Se1 Se 0.0000 0.0031 0.2500
Se2 Se 0.0000 0.3750 0.5017

The calculation returns the following total magnetic moment values, one per record and in order: 0.00, 0.00, 0.00, 0.00 μB per formula unit.
The calculation returns the following V values, one per record and in order: 595.6, 158.7, 323.0, 703.1 Å³/cell.